Record 1
The following is a PBE-GGA calculation of a relaxed structure of Ag2SbRh, from Alexandria via LeMat-Bulk.

Structure (extended XYZ):
```
4
Lattice="-3.353 3.150 -1.963 -1.975 -3.606 2.848 0.271 1.919 2.618" Properties=species:S:1:pos:R:3 pbc="T T T"
Ag -1.676 1.575 -0.981
Ag -0.987 -1.803 1.424
Sb -2.528 0.731 1.752
Rh 0.135 0.960 1.309
```

Results
**D(E_F)**: 2.51 states/eV/cell
**VASP energy**: -16.60 eV/f.u.
**Energy relative to the elements, uncorrected**: 144 meV/atom

***

Record 2
The following is a PBE-GGA calculation of a relaxed structure of Ag2SbRh, from Alexandria via LeMat-Bulk.

Structure (extended XYZ):
```
4
Lattice="-2.032 2.175 4.086 2.032 -2.175 4.086 2.032 2.175 -4.086" Properties=species:S:1:pos:R:3 pbc="T T T"
Ag 0.000 0.000 8.112
Ag 2.032 0.000 2.078
Sb 0.000 2.175 1.948
Rh 0.000 0.000 4.204
```

Results
**D(E_F)**: 2.72 states/eV/cell
**VASP energy**: -17.05 eV/f.u.
**Energy relative to the elements, uncorrected**: 31 meV/atom

***

Record 3
The following is a PBE-GGA calculation of a relaxed structure of Ag2SbRh, from Alexandria via LeMat-Bulk.

Structure (extended XYZ):
```
4
Lattice="8.778 -1.598 -0.006 8.778 1.598 -0.006 8.489 0.000 2.747" Properties=species:S:1:pos:R:3 pbc="T T T"
Ag 0.073 0.000 0.008
Ag 19.624 0.000 2.060
Sb 6.264 0.000 0.658
Rh 13.107 0.000 1.376
```

Results
**D(E_F)**: 2.52 states/eV/cell
**VASP energy**: -16.82 eV/f.u.
**Energy relative to the elements, uncorrected**: 90 meV/atom

***

Record 4
The following is a PBE-GGA calculation of a relaxed structure of AgSb2Rh, from Alexandria via LeMat-Bulk.

Structure (extended XYZ):
```
4
Lattice="3.239 0.000 0.000 0.000 3.239 0.000 0.000 0.000 7.864" Properties=species:S:1:pos:R:3 pbc="T T T"
Ag 1.619 1.619 0.000
Sb 0.000 0.000 5.634
Sb 0.000 0.000 2.229
Rh 1.619 1.619 3.932
```

Results
**D(E_F)**: 1.64 states/eV/cell
**VASP energy**: -18.72 eV/f.u.
**Energy relative to the elements, uncorrected**: -68 meV/atom
**Offset from the most stable computed form**: 0.44 kcal/mol of atoms